{
  "formula": "Ac2CeHo",
  "functional": "PBE-GGA",
  "state": "relaxed",
  "magnetic_moment_mub_per_cell": 1.106,
  "relative_energy_mev_per_atom": 7,
  "cell": [[-3.169, 3.494, -2.180], [0.951, -2.147, -4.823], [-4.144, -3.340, 0.669]],
  "species": ["Ac", "Ac", "Ho", "Ce"],
  "fractional_positions": [[0.000, 0.000, 0.500], [0.000, 0.500, 0.000], [0.500, 0.500, 0.500], [0.500, 0.000, 0.000]]
}